No. 1
VASP calculation (PBE) on crystalline PmNi6Sn2 at its relaxed geometry.

Results
Magnetization ... 0.00 μB per cell
ΔH_f (0 K) ... -0.07 eV/atom

Cell lengths 7.2487, 7.2487, 7.2487 Å; angles 150.92, 127.61, 61.04 degrees
Closest atoms and distances in Å follow each position.
Sites, in units of the cell vectors:
Pm 0.0000 0.0000 0.0000  4 Ni 2.75
Ni 0.0163 0.3167 0.6996  4 Ni 2.42-2.55, 3 Sn 2.58-2.71
Ni 0.3224 0.5000 0.8224  3 Ni 2.27-2.42
Ni 0.3829 0.6833 0.6996  4 Ni 2.42-2.55, 3 Sn 2.58-2.71
Ni 0.6171 0.3167 0.3004  4 Ni 2.42-2.55, 3 Sn 2.58-2.71
Ni 0.6776 0.5000 0.1776  3 Ni 2.27-2.42
Ni 0.9837 0.6833 0.3004  4 Ni 2.42-2.55, 3 Sn 2.58-2.71
Sn 0.3632 0.8632 0.5000  10 Ni 2.58-2.74
Sn 0.6368 0.1368 0.5000  10 Ni 2.58-2.74

No. 2
VASP calculation (PBE) on crystalline Pm3LuCo at its relaxed geometry.

Results
Magnetization ... 0.10 μB per cell
ΔH_f (0 K) ... 0.10 eV/atom

Cell lengths 5.3804, 5.3804, 5.3804 Å; angles 90.00, 90.00, 90.00 degrees
Closest atoms and distances in Å follow each position.
Sites, in units of the cell vectors:
Pm 0.0000 0.0000 0.5000  2 Co 2.69
Pm 0.0000 0.5000 0.0000  2 Co 2.69
Pm 0.5000 0.0000 0.0000  2 Co 2.69
Lu 0.5000 0.5000 0.5000  12 Pm 3.80
Co 0.0000 0.0000 0.0000  6 Pm 2.69

No. 3
VASP calculation (PBE) on crystalline TiMnFeSb at its relaxed geometry.

Results
Magnetization ... 0.00 μB per cell
E_form (uncorrected) ... -5.696 kcal/mol of atoms

Cell lengths 4.2653, 4.2653, 4.2653 Å; angles 60.00, 60.00, 60.00 degrees
Closest atoms and distances in Å follow each position.
Sites, in units of the cell vectors:
Ti 0.0000 0.0000 0.0000  4 Mn 2.61, 4 Fe 2.61
Mn 0.7500 0.7500 0.7500  4 Sb 2.61, 4 Ti 2.61
Fe 0.2500 0.2500 0.2500  4 Sb 2.61, 4 Ti 2.61
Sb 0.5000 0.5000 0.5000  4 Mn 2.61, 4 Fe 2.61

no.,VASP energy (eV/atom)
1,-5.344
2,-5.072
3,-7.659